1) Mn2ZnPb PBE-GGA optimized geometry; N(E_F) = 0.725 states/eV/atom; space-group type = I4/mmm, No. 139; size of the total moment = 6.0 μB per formula unit
1.0
-2.024 2.024 4.013
2.024 -2.024 4.013
2.024 2.024 -4.013
Mn Zn Pb
2 1 1
direct
0.250 0.750 0.500
0.750 0.250 0.500
0.000 0.000 0.000
0.500 0.500 0.000

2) Mn2ZnPb PBE-GGA optimized geometry; N(E_F) = 0.515 states/eV/atom; space-group type = P4mm, No. 99; size of the total moment = 7.0 μB per formula unit
1.0
3.317 0.000 0.000
0.000 3.317 0.000
0.000 0.000 6.616
Mn Zn Pb
2 1 1
direct
0.000 0.000 0.000
0.500 0.500 0.213
0.500 0.500 0.813
0.000 0.000 0.494

Stability, lowest: 2)